Crystalline WI2N2 at its relaxed geometry, computed with PBE-GGA.

```
data_WI2N2
_chemical_formula_sum 'W1 I2 N2'
_space_group_name_H-M_alt 'P 1'
_space_group_IT_number 1
_cell_length_a 4.093
_cell_length_b 4.093
_cell_length_c 7.703
_cell_angle_alpha 90.00
_cell_angle_beta 90.00
_cell_angle_gamma 90.00
loop_
_space_group_symop_operation_xyz
'x,y,z'
loop_
_atom_site_label
_atom_site_type_symbol
_atom_site_fract_x
_atom_site_fract_y
_atom_site_fract_z
W1 W 0.000 0.000 0.000
I1 I 0.500 0.500 0.000
I2 I 0.500 0.500 0.500
N1 N 0.000 0.500 0.500
N2 N 0.500 0.000 0.500
```

Values from the calculation:
Its crystal system is tetragonal. Its total magnetization is 5.1 μB per formula unit. The raw formation energy is 12.93 eV/f.u. The calculation puts the energy above the most stable polymorph in this dataset at 1.678 eV per atom.

---

Crystalline CeSb2 at its relaxed geometry, computed with PBE-GGA.

```
data_CeSb2
_chemical_formula_sum 'Ce1 Sb2'
_space_group_name_H-M_alt 'P 1'
_space_group_IT_number 1
_cell_length_a 5.788
_cell_length_b 5.788
_cell_length_c 5.788
_cell_angle_alpha 138.09
_cell_angle_beta 138.09
_cell_angle_gamma 60.77
loop_
_space_group_symop_operation_xyz
'x,y,z'
loop_
_atom_site_label
_atom_site_type_symbol
_atom_site_fract_x
_atom_site_fract_y
_atom_site_fract_z
Ce1 Ce 0.000 0.000 0.000
Sb1 Sb 0.352 0.352 0.000
Sb2 Sb 0.648 0.648 0.000
```

Values from the calculation:
Its crystal system is tetragonal. Its total magnetization is 0.7 μB per formula unit. The raw formation energy is -1.85 eV/f.u.